No. 1
# SrCr2Ni

Crystalline SrCr2Ni at its relaxed geometry (PBE-GGA, Alexandria via LeMat-Bulk).

Values from the calculation:
E_form: 690 meV/atom
relative energy among the computed polymorphs: 0.293 eV/atom

```
data_SrCr2Ni
_symmetry_space_group_name_H-M 'P 4/m m m'
_symmetry_Int_Tables_number 123
_symmetry_space_group_name_Hall '-P 4 2'
_cell_length_a 3.324
_cell_length_b 3.324
_cell_length_c 6.829
_cell_angle_alpha 90.00
_cell_angle_beta 90.00
_cell_angle_gamma 90.00
loop_
_atom_site_label
_atom_site_type_symbol
_atom_site_fract_x
_atom_site_fract_y
_atom_site_fract_z
Sr1 Sr 0.000 0.000 0.000
Cr1 Cr 0.500 0.500 0.363
Ni1 Ni 0.000 0.000 0.500
```

=====

No. 2
# SrGeOF2

Crystalline SrGeOF2 at its relaxed geometry (PBE-GGA, Alexandria via LeMat-Bulk).

Values from the calculation:
relative energy among the computed polymorphs: 0.495 eV/atom
formation energy without anion corrections: -163 kJ/mol of atoms

```
data_SrGeOF2
_symmetry_space_group_name_H-M 'P 4/m m m'
_symmetry_Int_Tables_number 123
_symmetry_space_group_name_Hall '-P 4 2'
_cell_length_a 4.499
_cell_length_b 4.499
_cell_length_c 4.945
_cell_angle_alpha 90.00
_cell_angle_beta 90.00
_cell_angle_gamma 90.00
loop_
_atom_site_label
_atom_site_type_symbol
_atom_site_fract_x
_atom_site_fract_y
_atom_site_fract_z
Sr1 Sr 0.000 0.000 0.000
Ge1 Ge 0.500 0.500 0.500
O1 O 0.000 0.000 0.500
F1 F 0.000 0.500 0.000
```

=====

No. 3
# Dy8Ho5Tl

Crystalline Dy8Ho5Tl at its relaxed geometry (PBE-GGA, Alexandria via LeMat-Bulk).

Values from the calculation:
E_form: 196 meV/atom

```
data_Dy8Ho5Tl
_symmetry_space_group_name_H-M 'I -4'
_symmetry_Int_Tables_number 82
_cell_length_a 9.553
_cell_length_b 9.553
_cell_length_c 9.938
_cell_angle_alpha 90.00
_cell_angle_beta 90.00
_cell_angle_gamma 90.00
loop_
_symmetry_equiv_pos_as_xyz
'x,y,z'
'y,-x,-z'
'-x,-y,z'
'-y,x,-z'
'x+1/2,y+1/2,z+1/2'
'y+1/2,-x+1/2,-z+1/2'
'-x+1/2,-y+1/2,z+1/2'
'-y+1/2,x+1/2,-z+1/2'
loop_
_atom_site_label
_atom_site_type_symbol
_atom_site_fract_x
_atom_site_fract_y
_atom_site_fract_z
Dy1 Dy 0.068 0.324 0.094
Dy2 Dy 0.086 0.184 0.754
Ho1 Ho 0.000 0.000 0.000
Ho2 Ho 0.102 0.208 0.421
Tl1 Tl 0.000 0.500 0.750
```

=====

no.,final energy (hartree per atom),Fermi-level density of states (states/eV per atom)
1,-0.2200,1.510
2,-0.1722,0.033
3,-0.1557,1.315